# CoP2ClF GGA+U optimized geometry
data_CoP2ClF
_cell_length_a 4.362
_cell_length_b 4.120
_cell_length_c 4.362
_cell_angle_alpha 90.00
_cell_angle_beta 90.00
_cell_angle_gamma 90.00
_symmetry_space_group_name_H-M 'P 1'
_symmetry_Int_Tables_number 1
_symmetry_space_group_name_Hall 'P 1'
loop_
_atom_site_label
_atom_site_type_symbol
_atom_site_fract_x
_atom_site_fract_y
_atom_site_fract_z
P1 P 0.000 0.000 0.500
P2 P 0.500 0.000 0.000
F1 F 0.000 0.500 0.000
Co1 Co 0.000 0.000 0.000
Cl1 Cl 0.500 0.500 0.500
# * ΔE to the lowest computed polymorph: 0.000 eV per atom
# * DOS(E_F): 3.235 states/eV/cell
# * total DFT energy (no corrections): -3.86 eV/atom